VASP calculation (PBE) on an optimized crystal structure of PrHgCN2.

a b c (Å): 3.950 5.408 8.494
angles (deg): 90.20 90.00 90.00
Fractional coordinates of all 10 atoms:
1 Hg 0.250 0.718 0.981
2 Hg 0.750 0.282 0.019
3 N 0.750 0.396 0.657
4 N 0.250 0.604 0.343
5 N 0.250 0.154 0.392
6 N 0.750 0.846 0.608
7 Pr 0.250 0.119 0.703
8 Pr 0.750 0.881 0.297
9 C 0.250 0.379 0.364
10 C 0.750 0.621 0.636

Summary:
**Calculated total energy**: -6.719 eV/atom
**Total magnetic moment**: 0.0 μB per cell
**Fermi-level density of states**: 0.307 states/eV per atom
**Energy relative to the elements, uncorrected**: -255 kJ/mol of formula units
**V**: 181 Å³/cell